Entry 1:
Here is a relaxed structure of TlOsC2 from the Alexandria database. Energies are from PBE-GGA.

Results
Energy of formation from the pure elements (eV per atom): 2.5389
Energy relative to the lowest polymorph listed for this composition (eV per atom): 1.617

Structure (CIF):
```
data_TlOsC2
_chemical_formula_sum 'Tl1 Os1 C2'
_space_group_name_H-M_alt 'P 1'
_space_group_IT_number 1
_space_group_name_Hall 'P 1'
_cell_length_a 4.098
_cell_length_b 4.098
_cell_length_c 4.098
_cell_angle_alpha 60.00
_cell_angle_beta 60.00
_cell_angle_gamma 60.00
loop_
_atom_site_label
_atom_site_fract_x
_atom_site_fract_y
_atom_site_fract_z
_atom_site_occupancy
Tl1 0.000 0.000 0.000 1
Os1 0.500 0.500 0.500 1
C1 0.250 0.250 0.250 1
C2 0.750 0.750 0.750 1
```

Entry 2:
Here is a relaxed structure of RbOsRu3 from the Alexandria database. Energies are from PBE-GGA.

Results
Energy of formation from the pure elements (eV per atom): 3.6010
Energy relative to the lowest polymorph listed for this composition (eV per atom): 2.025

Structure (CIF):
```
data_RbOsRu3
_chemical_formula_sum 'Rb1 Os1 Ru3'
_space_group_name_H-M_alt 'P 1'
_space_group_IT_number 1
_space_group_name_Hall 'P 1'
_cell_length_a 4.566
_cell_length_b 4.566
_cell_length_c 4.566
_cell_angle_alpha 90.00
_cell_angle_beta 90.00
_cell_angle_gamma 90.00
loop_
_atom_site_label
_atom_site_fract_x
_atom_site_fract_y
_atom_site_fract_z
_atom_site_occupancy
Rb1 0.000 0.000 0.000 1
Os1 0.500 0.500 0.500 1
Ru1 0.000 0.000 0.500 1
Ru2 0.000 0.500 0.000 1
Ru3 0.500 0.000 0.000 1
```

Entry 3:
Here is a relaxed structure of ZrTePbI2 from the Alexandria database. Energies are from PBE-GGA.

Results
Energy relative to the lowest polymorph listed for this composition (eV per atom): 0.000

Structure (CIF):
```
data_ZrTePbI2
_chemical_formula_sum 'Zr1 Te1 Pb1 I2'
_space_group_name_H-M_alt 'P 1'
_space_group_IT_number 1
_space_group_name_Hall 'P 1'
_cell_length_a 5.914
_cell_length_b 5.914
_cell_length_c 5.716
_cell_angle_alpha 90.00
_cell_angle_beta 90.00
_cell_angle_gamma 90.00
loop_
_atom_site_label
_atom_site_fract_x
_atom_site_fract_y
_atom_site_fract_z
_atom_site_occupancy
Zr1 0.000 0.000 0.000 1
Te1 0.000 0.000 0.500 1
Pb1 0.500 0.500 0.500 1
I1 0.000 0.500 0.000 1
I2 0.500 0.000 0.000 1
```

Entry 4:
Here is a relaxed structure of NdDyHo from the Alexandria database. Energies are from PBE-GGA.

Results
Energy of formation from the pure elements (eV per atom): 0.0694
Energy relative to the lowest polymorph listed for this composition (eV per atom): 0.055

Structure (CIF):
```
data_NdDyHo
_chemical_formula_sum 'Nd1 Dy1 Ho1'
_space_group_name_H-M_alt 'P 1'
_space_group_IT_number 1
_space_group_name_Hall 'P 1'
_cell_length_a 5.681
_cell_length_b 5.681
_cell_length_c 3.484
_cell_angle_alpha 90.00
_cell_angle_beta 90.00
_cell_angle_gamma 120.00
loop_
_atom_site_label
_atom_site_fract_x
_atom_site_fract_y
_atom_site_fract_z
_atom_site_occupancy
Nd1 0.000 0.000 0.000 1
Dy1 0.333 0.667 0.500 1
Ho1 0.667 0.333 0.500 1
```

Entry 5:
Here is a relaxed structure of K2InCl from the Alexandria database. Energies are from PBE-GGA.

Results
Energy relative to the lowest polymorph listed for this composition (eV per atom): 0.054

Structure (CIF):
```
data_K2InCl
_chemical_formula_sum 'K2 In1 Cl1'
_space_group_name_H-M_alt 'P 1'
_space_group_IT_number 1
_space_group_name_Hall 'P 1'
_cell_length_a 10.230
_cell_length_b 10.230
_cell_length_c 4.040
_cell_angle_alpha 99.45
_cell_angle_beta 99.45
_cell_angle_gamma 20.73
loop_
_atom_site_label
_atom_site_fract_x
_atom_site_fract_y
_atom_site_fract_z
_atom_site_occupancy
K1 0.000 0.000 0.000 1
K2 0.202 0.202 0.753 1
In1 0.837 0.837 0.366 1
Cl1 0.578 0.578 0.563 1
```

Entry 6:
Here is a relaxed structure of Hf3Ti5Bi4 from the Alexandria database. Energies are from PBE-GGA.

Results
Energy of formation from the pure elements (eV per atom): 0.2930

Structure (CIF):
```
data_Hf3Ti5Bi4
_chemical_formula_sum 'Hf3 Ti5 Bi4'
_space_group_name_H-M_alt 'P 1'
_space_group_IT_number 1
_space_group_name_Hall 'P 1'
_cell_length_a 7.369
_cell_length_b 7.369
_cell_length_c 8.354
_cell_angle_alpha 105.75
_cell_angle_beta 105.75
_cell_angle_gamma 39.72
loop_
_atom_site_label
_atom_site_fract_x
_atom_site_fract_y
_atom_site_fract_z
_atom_site_occupancy
Hf1 0.000 0.000 0.000 1
Hf2 0.270 0.270 0.794 1
Hf3 0.730 0.730 0.206 1
Ti1 0.058 0.058 0.652 1
Ti2 0.192 0.192 0.429 1
Ti3 0.500 0.500 0.000 1
Ti4 0.808 0.808 0.571 1
Ti5 0.942 0.942 0.348 1
Bi1 0.333 0.333 0.165 1
Bi2 0.420 0.420 0.615 1
Bi3 0.580 0.580 0.385 1
Bi4 0.667 0.667 0.835 1
```

Entry 7:
Here is a relaxed structure of TaBePb from the Alexandria database. Energies are from PBE-GGA.

Results
Energy of formation from the pure elements (eV per atom): 0.5801
Energy relative to the lowest polymorph listed for this composition (eV per atom): 0.047

Structure (CIF):
```
data_TaBePb
_chemical_formula_sum 'Ta1 Be1 Pb1'
_space_group_name_H-M_alt 'P 1'
_space_group_IT_number 1
_space_group_name_Hall 'P 1'
_cell_length_a 7.788
_cell_length_b 7.788
_cell_length_c 7.788
_cell_angle_alpha 158.21
_cell_angle_beta 158.21
_cell_angle_gamma 31.01
loop_
_atom_site_label
_atom_site_fract_x
_atom_site_fract_y
_atom_site_fract_z
_atom_site_occupancy
Ta1 0.000 0.000 0.000 1
Be1 0.601 0.601 0.000 1
Pb1 0.330 0.330 0.000 1
```

Entry 8:
Here is a relaxed structure of TiZn2Co from the Alexandria database. Energies are from PBE-GGA.

Results
Energy of formation from the pure elements (eV per atom): -0.1203
Energy relative to the lowest polymorph listed for this composition (eV per atom): 0.084

Structure (CIF):
```
data_TiZn2Co
_chemical_formula_sum 'Ti1 Zn2 Co1'
_space_group_name_H-M_alt 'P 1'
_space_group_IT_number 1
_space_group_name_Hall 'P 1'
_cell_length_a 4.234
_cell_length_b 4.234
_cell_length_c 4.234
_cell_angle_alpha 60.00
_cell_angle_beta 60.00
_cell_angle_gamma 60.00
loop_
_atom_site_label
_atom_site_fract_x
_atom_site_fract_y
_atom_site_fract_z
_atom_site_occupancy
Ti1 0.000 0.000 0.000 1
Zn1 0.250 0.250 0.250 1
Zn2 0.750 0.750 0.750 1
Co1 0.500 0.500 0.500 1
```

Entry 9:
Here is a relaxed structure of LiHf3Mn from the Alexandria database. Energies are from PBE-GGA.

Results
Energy of formation from the pure elements (eV per atom): 0.4560
Energy relative to the lowest polymorph listed for this composition (eV per atom): 0.000

Structure (CIF):
```
data_LiHf3Mn
_chemical_formula_sum 'Li1 Hf3 Mn1'
_space_group_name_H-M_alt 'P 1'
_space_group_IT_number 1
_space_group_name_Hall 'P 1'
_cell_length_a 4.836
_cell_length_b 4.836
_cell_length_c 4.836
_cell_angle_alpha 90.00
_cell_angle_beta 90.00
_cell_angle_gamma 90.00
loop_
_atom_site_label
_atom_site_fract_x
_atom_site_fract_y
_atom_site_fract_z
_atom_site_occupancy
Li1 0.000 0.000 0.000 1
Hf1 0.000 0.500 0.500 1
Hf2 0.500 0.000 0.500 1
Hf3 0.500 0.500 0.000 1
Mn1 0.500 0.500 0.500 1
```

What spin magnetization values result from the calculations? In sequence: 0.000; 0.017; 1.865; 0.000; 0.000; 0.001; 0.000; 0.000; 0.000 μB/cell.